VASP calculation (GGA-PBE) on crystalline Ca3Zn6Au20 at its relaxed geometry.

## Properties
Fermi-level density of states (states/eV per atom): 0.355
Crystal system: cubic
Raw total energy (Ha/atom): -0.1106

Unit cell a=9.228 b=9.228 c=9.228 alpha=60.00 beta=60.00 gamma=60.00
Fractional positions:
Ca 0.750 0.750 0.750
Ca 0.250 0.250 0.250
Ca 0.000 0.000 0.000
Zn 0.267 0.733 0.733
Zn 0.733 0.267 0.267
Zn 0.267 0.267 0.733
Zn 0.733 0.267 0.733
Zn 0.267 0.733 0.267
Zn 0.733 0.733 0.267
Au 0.384 0.384 0.849
Au 0.151 0.616 0.616
Au 0.651 0.000 0.000
Au 0.651 0.349 0.000
Au 0.000 0.000 0.651
Au 0.384 0.849 0.384
Au 0.000 0.349 0.651
Au 0.651 0.000 0.349
Au 0.000 0.651 0.000
Au 0.000 0.000 0.349
Au 0.349 0.000 0.651
Au 0.000 0.349 0.000
Au 0.349 0.651 0.000
Au 0.349 0.000 0.000
Au 0.384 0.384 0.384
Au 0.616 0.616 0.151
Au 0.616 0.616 0.616
Au 0.616 0.151 0.616
Au 0.849 0.384 0.384
Au 0.000 0.651 0.349



VASP calculation (GGA-PBE) on crystalline CaZnAu6 at its relaxed geometry.

## Properties
Fermi-level density of states (states/eV per atom): 0.385
Crystal system: tetragonal
Raw total energy (Ha/atom): -0.1165

Unit cell a=4.003 b=4.003 c=10.386 alpha=90.00 beta=90.00 gamma=90.00
Fractional positions:
Ca 0.000 0.000 0.000
Zn 0.000 0.000 0.500
Au 0.500 0.000 0.672
Au 0.000 0.500 0.672
Au 0.500 0.500 0.129
Au 0.500 0.500 0.871
Au 0.000 0.500 0.328
Au 0.500 0.000 0.328



Q: Which of these has the highest raw total energy?
A: Ca3Zn6Au20